1.
4
Lattice="-2.4361 -1.5824 -1.2016 -1.8749 -1.6717 1.8902 -4.3919 2.9681 0.8829" Properties=species:S:1:pos:R:3 comment="ScNbH2, relaxed, DFT PBE" total_energy_ha_per_atom=-0.2213 pbc="T T T"
Sc -4.3514 -0.1430 0.7857
H -6.6541 -0.0404 1.2067
H -2.0488 -0.2456 0.3648
Nb 0.0000 0.0000 0.0000

=====

2.
4
Lattice="4.1359 0.5499 1.6900 0.5709 2.2139 3.8777 1.2319 -2.2356 3.7079" Properties=species:S:1:pos:R:3 comment="ScNb2H, relaxed, DFT PBE" total_energy_ha_per_atom=-0.2348 pbc="T T T"
Sc 2.9694 0.2641 4.6378
H 0.0000 0.0000 0.0000
Nb 1.4847 0.1320 2.3189
Nb 4.4540 0.3961 6.9567

=====

3.
80
Lattice="-8.5863 3.3074 -3.7147 -1.7593 -7.5921 6.1422 4.4844 7.3156 4.9835" Properties=species:S:1:pos:R:3 comment="Sc3Nb5H12, relaxed, DFT PBE" total_energy_ha_per_atom=-0.2144 pbc="T T T"
Sc -6.5389 0.5480 0.1403
Sc -8.2719 -1.8857 1.9792
Sc -1.7366 0.1184 6.3283
Sc -0.6848 2.6212 1.7079
Sc -6.6118 3.7739 -1.2367
Sc -3.1983 -1.6759 3.6917
Sc -2.6629 4.7068 3.7193
Sc 0.7506 -0.7430 8.6477
Sc -5.1764 0.4097 5.7031
Sc -4.1246 2.9124 1.0827
Sc 2.4108 4.9165 5.4318
Sc 0.6777 2.4829 7.2707
Nb -0.6119 -0.6047 3.0849
Nb -0.8797 -3.7961 3.0711
Nb 0.0000 0.0000 0.0000
Nb -3.0991 0.2567 0.7655
Nb -2.0509 5.3115 0.6344
Nb -5.1728 -2.1424 1.2138
Nb -0.7111 -2.5373 6.0111
Nb -2.7358 7.9327 2.3423
Nb -5.8576 0.4788 2.9217
Nb -0.0765 5.7779 3.1124
Nb -5.7847 -2.7471 4.2986
Nb -2.9306 1.5154 3.7055
Nb -4.2932 1.6537 -1.8573
Nb 2.2422 3.6578 2.4917
Nb -0.0035 2.5520 4.4893
Nb -3.1254 -4.9018 5.0687
Nb 1.3626 -0.1383 5.5628
Nb -5.1501 5.5682 1.3999
Nb -2.7620 2.7742 6.6455
Nb -5.2493 3.6356 4.3261
H -6.1751 1.7447 -1.4911
H -2.0317 -0.0844 4.2680
H -7.4374 2.4356 0.0874
H -4.5660 1.2257 -0.0063
H -3.2709 1.2620 5.5774
H -8.3641 -0.1447 0.8899
H -2.3929 -1.6970 5.6215
H -1.6845 -5.6754 6.0745
H -3.6907 -0.3684 6.8918
H -6.4954 -0.8275 1.6674
H -5.8563 1.8497 1.5774
H -8.5483 -3.7396 2.8233
H 0.0126 -0.8966 6.6971
H -3.4430 -1.4226 1.6304
H -0.6864 -4.1036 7.1213
H -1.2655 4.5642 2.2183
H 0.0436 0.6632 1.8007
H -4.5574 -2.9601 2.8376
H -7.5844 -2.1882 3.9308
H -1.6085 -2.1258 2.4687
H -1.2191 -0.2546 8.3198
H -4.2407 0.1255 3.8949
H -6.8381 0.7675 4.5470
H -3.1444 6.7405 3.7908
H -1.6205 2.9053 3.5161
H 0.9769 2.2633 2.8640
H -2.7168 -3.7096 3.6202
H 1.7232 5.2191 3.4802
H -4.6421 3.2855 -0.9088
H -4.2527 5.1566 4.9423
H -1.3038 5.9909 4.5734
H -4.5957 -1.5334 5.1927
H -5.9047 2.3677 5.6103
H -5.1748 7.1345 0.2897
H -5.8738 3.9275 0.7139
H 2.6871 6.7704 4.5877
H -2.4182 4.4534 5.7806
H -2.1705 3.3993 0.5192
H 0.6342 3.8583 5.7436
H -0.0049 1.1812 5.8336
H -4.1767 8.7063 1.3365
H -3.4683 4.7278 1.7895
H -1.2952 1.8052 7.4173
H 2.5029 3.1756 6.5211
H -2.5903 1.7688 1.8336
H 1.5762 0.5953 7.3236
H -3.8295 3.1153 3.1430
H 0.3139 1.2862 8.9021

=====

4.
5
Lattice="4.5453 0.0000 0.0000 0.0000 4.5453 0.0000 0.0000 0.0000 4.0805" Properties=species:S:1:pos:R:3 comment="Sc2NbSnH, relaxed, DFT PBE" total_energy_ha_per_atom=-0.2364 pbc="T T T"
Sc 0.0000 2.2727 0.0000
Sc 2.2727 0.0000 0.0000
H 0.0000 0.0000 0.0000
Nb 0.0000 0.0000 2.0402
Sn 2.2727 2.2727 2.0402

=====

5.
5
Lattice="4.1574 0.0000 0.0000 0.0000 4.1574 0.0000 0.0000 0.0000 4.6402" Properties=species:S:1:pos:R:3 comment="ScNb2SnH, relaxed, DFT PBE" total_energy_ha_per_atom=-0.2596 pbc="T T T"
Sc 0.0000 0.0000 2.3201
H 0.0000 0.0000 0.0000
Nb 0.0000 2.0787 0.0000
Nb 2.0787 0.0000 0.0000
Sn 2.0787 2.0787 2.3201

=====

6.
5
Lattice="-2.0591 0.9349 3.4252 3.3020 -0.9509 2.2446 1.4828 4.4111 -0.3125" Properties=species:S:1:pos:R:3 comment="ScTiNb2H, relaxed, DFT PBE" total_energy_ha_per_atom=-0.2764 pbc="T T T"
Sc 1.3628 2.1975 2.6786
H 0.0000 0.0000 0.0000
Nb 1.6510 -0.4755 1.1223
Nb -1.0296 0.4674 1.7126
Ti 0.7414 2.2055 -0.1563

=====

7.
5
Lattice="4.3564 0.0000 0.0000 0.0000 4.3564 0.0000 0.0000 0.0000 4.0525" Properties=species:S:1:pos:R:3 comment="ScTi2NbH, relaxed, DFT PBE" total_energy_ha_per_atom=-0.2617 pbc="T T T"
Sc 2.1782 2.1782 2.0263
H 0.0000 0.0000 0.0000
Nb 0.0000 0.0000 2.0263
Ti 0.0000 2.1782 0.0000
Ti 2.1782 0.0000 0.0000

=====

8.
5
Lattice="-1.2497 0.7078 -4.1442 -2.3461 -3.7050 0.0747 -3.4127 2.1893 1.4030" Properties=species:S:1:pos:R:3 comment="Sc2TiNbH, relaxed, DFT PBE" total_energy_ha_per_atom=-0.2505 pbc="T T T"
Sc -1.1730 -1.8525 0.0373
Sc -0.6248 0.3539 -2.0721
H 0.0000 0.0000 0.0000
Nb -1.7064 1.0946 0.7015
Ti -3.5042 -0.4040 -1.3333

=====

> Number 4 is which compound?

Sc2NbSnH